# 1
# PrZn3Cu, optimized geometry, DFT PBE
# Total energy   -13.4 eV per cell
# Density of states at the Fermi level   0.338 states/eV/atom
# Energy relative to the elements   -0.69 eV per formula unit
# ρ   6.674 g cm⁻³
data_PrZn3Cu
_cell_length_a 4.637
_cell_length_b 4.637
_cell_length_c 4.637
_cell_angle_alpha 90.00
_cell_angle_beta 90.00
_cell_angle_gamma 90.00
_symmetry_space_group_name_H-M 'P m -3 m'
_symmetry_Int_Tables_number 221
_symmetry_space_group_name_Hall '-P 4 2 3'
loop_
_atom_site_label
_atom_site_type_symbol
_atom_site_fract_x
_atom_site_fract_y
_atom_site_fract_z
Pr1 Pr 0.000 0.000 0.000
Zn1 Zn 0.000 0.500 0.500
Cu1 Cu 0.500 0.500 0.500

# 2
# AsF3, optimized geometry, DFT PBE
# Total energy   -61.1 eV per cell
# Density of states at the Fermi level   0.000 states/eV/atom
# Energy relative to the elements, uncorrected   -1.254 eV per atom
# ρ   4.391 g cm⁻³
data_AsF3
_cell_length_a 3.788
_cell_length_b 3.788
_cell_length_c 13.910
_cell_angle_alpha 90.00
_cell_angle_beta 90.00
_cell_angle_gamma 90.00
_symmetry_space_group_name_H-M 'I -4 2 d'
_symmetry_Int_Tables_number 122
_symmetry_space_group_name_Hall 'I -4 2bw'
loop_
_atom_site_label
_atom_site_type_symbol
_atom_site_fract_x
_atom_site_fract_y
_atom_site_fract_z
As1 As 0.000 0.000 0.000
F1 F 0.000 0.000 0.500
F2 F 0.169 0.250 0.125

# 3
# BeVBi2, optimized geometry, DFT PBE
# Total energy   -72.1 eV per cell
# Density of states at the Fermi level   1.067 states/eV/atom
# Energy relative to the elements   2.58 eV per formula unit
# ρ   8.720 g cm⁻³
data_BeVBi2
_cell_length_a 7.444
_cell_length_b 7.444
_cell_length_c 6.569
_cell_angle_alpha 90.00
_cell_angle_beta 90.00
_cell_angle_gamma 90.00
_symmetry_space_group_name_H-M 'I -4 2 d'
_symmetry_Int_Tables_number 122
_symmetry_space_group_name_Hall 'I -4 2bw'
loop_
_atom_site_label
_atom_site_type_symbol
_atom_site_fract_x
_atom_site_fract_y
_atom_site_fract_z
Be1 Be 0.000 0.000 0.000
V1 V 0.000 0.000 0.500
Bi1 Bi 0.210 0.250 0.125

# 4
# Ca2AcSn, optimized geometry, DFT PBE
# Total energy   -55.0 eV per cell
# Density of states at the Fermi level   1.010 states/eV/atom
# Energy relative to the elements   -1.64 eV per formula unit
# ρ   4.760 g cm⁻³
data_Ca2AcSn
_cell_length_a 4.823
_cell_length_b 12.817
_cell_length_c 9.614
_cell_angle_alpha 90.00
_cell_angle_beta 90.00
_cell_angle_gamma 90.00
_symmetry_space_group_name_H-M 'C m c m'
_symmetry_Int_Tables_number 63
_symmetry_space_group_name_Hall '-C 2c 2'
loop_
_atom_site_label
_atom_site_type_symbol
_atom_site_fract_x
_atom_site_fract_y
_atom_site_fract_z
Ca1 Ca 0.000 0.147 0.058
Ac1 Ac 0.000 0.447 0.250
Sn1 Sn 0.000 0.259 0.750

# 5
# TlZnOs2, optimized geometry, DFT PBE
# Total energy   -44.7 eV per cell
# Density of states at the Fermi level   1.335 states/eV/atom
# Energy relative to the elements   3.76 eV per formula unit
# ρ   16.515 g cm⁻³
data_TlZnOs2
_cell_length_a 3.967
_cell_length_b 3.967
_cell_length_c 8.309
_cell_angle_alpha 90.00
_cell_angle_beta 90.00
_cell_angle_gamma 90.00
_symmetry_space_group_name_H-M 'I 4/m m m'
_symmetry_Int_Tables_number 139
_symmetry_space_group_name_Hall '-I 4 2'
loop_
_atom_site_label
_atom_site_type_symbol
_atom_site_fract_x
_atom_site_fract_y
_atom_site_fract_z
Tl1 Tl 0.000 0.000 0.000
Zn1 Zn 0.000 0.000 0.500
Os1 Os 0.000 0.500 0.250

# 6
# Pr6P2CBr3, optimized geometry, DFT PBE
# Total energy   -138.4 eV per cell
# Density of states at the Fermi level   0.312 states/eV/atom
# Energy relative to the elements, uncorrected   -1.290 eV per atom
# ρ   5.932 g cm⁻³
data_Pr6P2CBr3
_cell_length_a 7.096
_cell_length_b 12.288
_cell_length_c 7.810
_cell_angle_alpha 90.00
_cell_angle_beta 107.63
_cell_angle_gamma 90.00
_symmetry_space_group_name_H-M 'C 1 2/m 1'
_symmetry_Int_Tables_number 12
_symmetry_space_group_name_Hall '-C 2y'
loop_
_atom_site_label
_atom_site_type_symbol
_atom_site_fract_x
_atom_site_fract_y
_atom_site_fract_z
Pr1 Pr 0.220 0.155 0.193
Pr2 Pr 0.246 0.000 0.806
P1 P 0.000 0.333 0.000
C1 C 0.000 0.000 0.000
Br1 Br 0.000 0.169 0.500
Br2 Br 0.000 0.500 0.500

# 7
# Sc2BeGaC, optimized geometry, DFT PBE
# Total energy   -61.8 eV per cell
# Density of states at the Fermi level   0.381 states/eV/atom
# Energy relative to the elements   -2.24 eV per formula unit
# ρ   3.843 g cm⁻³
data_Sc2BeGaC
_cell_length_a 6.286
_cell_length_b 3.370
_cell_length_c 7.798
_cell_angle_alpha 90.00
_cell_angle_beta 109.08
_cell_angle_gamma 90.00
_symmetry_space_group_name_H-M 'P 1 21/m 1'
_symmetry_Int_Tables_number 11
_symmetry_space_group_name_Hall '-P 2yb'
loop_
_atom_site_label
_atom_site_type_symbol
_atom_site_fract_x
_atom_site_fract_y
_atom_site_fract_z
Sc1 Sc 0.195 0.250 0.373
Sc2 Sc 0.203 0.250 0.972
Be1 Be 0.452 0.750 0.246
Ga1 Ga 0.288 0.750 0.694
C1 C 0.170 0.750 0.170

# 8
# NaGdTlIn, optimized geometry, DFT PBE
# Total energy   -86.3 eV per cell
# Density of states at the Fermi level   0.793 states/eV/atom
# Energy relative to the elements   -1.06 eV per formula unit
# ρ   7.675 g cm⁻³
data_NaGdTlIn
_cell_length_a 7.561
_cell_length_b 7.561
_cell_length_c 7.561
_cell_angle_alpha 90.00
_cell_angle_beta 90.00
_cell_angle_gamma 90.00
_symmetry_space_group_name_H-M 'F -4 3 m'
_symmetry_Int_Tables_number 216
_symmetry_space_group_name_Hall 'F -4 2 3'
loop_
_atom_site_label
_atom_site_type_symbol
_atom_site_fract_x
_atom_site_fract_y
_atom_site_fract_z
Na1 Na 0.000 0.000 0.000
Gd1 Gd 0.000 0.000 0.500
Tl1 Tl 0.250 0.250 0.250
In1 In 0.250 0.250 0.750

# 9
# AlCoSi2, optimized geometry, DFT PBE
# Total energy   -22.1 eV per cell
# Density of states at the Fermi level   0.571 states/eV/atom
# Energy relative to the elements, uncorrected   -0.108 eV per atom
# ρ   4.554 g cm⁻³
data_AlCoSi2
_cell_length_a 2.698
_cell_length_b 2.698
_cell_length_c 7.115
_cell_angle_alpha 90.00
_cell_angle_beta 90.00
_cell_angle_gamma 90.00
_symmetry_space_group_name_H-M 'P 4 m m'
_symmetry_Int_Tables_number 99
_symmetry_space_group_name_Hall 'P 4 -2'
loop_
_atom_site_label
_atom_site_type_symbol
_atom_site_fract_x
_atom_site_fract_y
_atom_site_fract_z
Al1 Al 0.000 0.000 0.000
Co1 Co 0.500 0.500 0.231
Si1 Si 0.000 0.000 0.428
Si2 Si 0.500 0.500 0.710

# 10
# Nd2Y3Ho3, optimized geometry, DFT PBE
# Total energy   -84.9 eV per cell
# Density of states at the Fermi level   1.518 states/eV/atom
# Energy relative to the elements   0.20 eV per formula unit
# ρ   6.704 g cm⁻³
data_Nd2Y3Ho3
_cell_length_a 5.074
_cell_length_b 5.074
_cell_length_c 20.203
_cell_angle_alpha 90.00
_cell_angle_beta 90.00
_cell_angle_gamma 90.00
_symmetry_space_group_name_H-M 'I m m m'
_symmetry_Int_Tables_number 71
_symmetry_space_group_name_Hall '-I 2 2'
loop_
_atom_site_label
_atom_site_type_symbol
_atom_site_fract_x
_atom_site_fract_y
_atom_site_fract_z
Nd1 Nd 0.000 0.000 0.250
Y1 Y 0.000 0.000 0.000
Y2 Y 0.000 0.500 0.123
Ho1 Ho 0.000 0.000 0.500
Ho2 Ho 0.000 0.500 0.377

# 11
# Be2TlGaCl6, optimized geometry, DFT PBE
# Total energy   -142.6 eV per cell
# Density of states at the Fermi level   0.000 states/eV/atom
# Energy relative to the elements, uncorrected   -1.172 eV per atom
# ρ   2.654 g cm⁻³
data_Be2TlGaCl6
_cell_length_a 12.144
_cell_length_b 12.942
_cell_length_c 8.452
_cell_angle_alpha 90.00
_cell_angle_beta 107.99
_cell_angle_gamma 90.00
_symmetry_space_group_name_H-M 'C 1 2/c 1'
_symmetry_Int_Tables_number 15
_symmetry_space_group_name_Hall '-C 2yc'
loop_
_atom_site_label
_atom_site_type_symbol
_atom_site_fract_x
_atom_site_fract_y
_atom_site_fract_z
Be1 Be 0.244 0.159 0.250
Tl1 Tl 0.000 0.138 0.750
Ga1 Ga 0.000 0.408 0.250
Cl1 Cl 0.105 0.396 0.629
Cl2 Cl 0.118 0.071 0.137
Cl3 Cl 0.227 0.307 0.234

# 12
# LiTcSb2, optimized geometry, DFT PBE
# Total energy   -62.0 eV per cell
# Density of states at the Fermi level   0.521 states/eV/atom
# Energy relative to the elements, uncorrected   -0.039 eV per atom
# ρ   6.803 g cm⁻³
data_LiTcSb2
_cell_length_a 4.2238
_cell_length_b 4.2238
_cell_length_c 16.5144
_cell_angle_alpha 90.00
_cell_angle_beta 90.00
_cell_angle_gamma 120.00
_symmetry_space_group_name_H-M 'R 3 m'
_symmetry_Int_Tables_number 160
_symmetry_space_group_name_Hall 'R 3 -2"'
loop_
_atom_site_label
_atom_site_type_symbol
_atom_site_fract_x
_atom_site_fract_y
_atom_site_fract_z
Li1 Li 0.0000 0.0000 0.0000
Tc1 Tc 0.0000 0.0000 0.1763
Sb1 Sb 0.0000 0.0000 0.5806
Sb2 Sb 0.0000 0.0000 0.7680